1.
A relaxed structure of Tl2RuW. Source: Alexandria via LeMat-Bulk, functional PBE.

Properties
- calculated formation energy (eV/atom) = 0.440
- crystal system = tetragonal
- distance to the lowest polymorph of the same formula (meV/atom) = 27.9
- space group = P4mm, No. 99

Cell lengths 3.0902, 3.0902, 8.8598 Å; angles 90.00, 90.00, 90.00 degrees
Positions (direct):
Ru1 0.5000 0.5000 0.7017
Tl1 0.5000 0.5000 0.2916
W1 0.0000 0.0000 0.5485
Tl2 0.0000 0.0000 0.9582


2.
A relaxed structure of TlRu2W. Source: Alexandria via LeMat-Bulk, functional PBE.

Properties
- calculated formation energy (eV/atom) = 0.558
- crystal system = tetragonal
- distance to the lowest polymorph of the same formula (meV/atom) = 292.1
- space group = I-4m2, No. 119

Cell lengths 5.1560, 5.1560, 5.1560 Å; angles 136.13, 136.13, 63.78 degrees
Positions (direct):
W1 0.7500 0.2500 0.5000
Tl1 0.5000 0.5000 0.0000
Ru1 0.2500 0.7500 0.5000
Ru2 0.0000 0.0000 0.0000


3.
A relaxed structure of Tl4RuW. Source: Alexandria via LeMat-Bulk, functional PBE.

Properties
- calculated formation energy (eV/atom) = 1.598
- crystal system = cubic
- space group = F-43m, No. 216

Cell lengths 5.9725, 5.9725, 5.9725 Å; angles 60.00, 60.00, 60.00 degrees
Positions (direct):
Tl1 0.3748 0.3748 0.8755
Tl2 0.3748 0.3748 0.3748
Tl3 0.3748 0.8755 0.3748
Tl4 0.8755 0.3748 0.3748
Ru1 0.0000 0.0000 0.0000
W1 0.7500 0.7500 0.7500


4.
A relaxed structure of TlRu2W. Source: Alexandria via LeMat-Bulk, functional PBE.

Properties
- calculated formation energy (eV/atom) = 0.447
- crystal system = tetragonal
- distance to the lowest polymorph of the same formula (meV/atom) = 180.9
- space group = I4/mmm, No. 139

Cell lengths 4.6985, 4.6985, 4.6985 Å; angles 126.43, 126.44, 79.17 degrees
Positions (direct):
Ru1 0.0000 0.0000 0.0000
W1 0.2500 0.7500 0.5000
Tl1 0.7500 0.2500 0.5000
Ru2 0.5000 0.5000 0.0000


5.
A relaxed structure of Tl2RuW. Source: Alexandria via LeMat-Bulk, functional PBE.

Properties
- calculated formation energy (eV/atom) = 1.043
- crystal system = tetragonal
- distance to the lowest polymorph of the same formula (meV/atom) = 630.8
- space group = I-4m2, No. 119

Cell lengths 5.2438, 5.2438, 5.2438 Å; angles 133.16, 133.16, 68.40 degrees
Positions (direct):
Ru1 0.7500 0.2500 0.5000
Tl1 0.2500 0.7500 0.5000
Tl2 0.0000 0.0000 0.0000
W1 0.5000 0.5000 0.0000


6.
A relaxed structure of Tl2RuW. Source: Alexandria via LeMat-Bulk, functional PBE.

Properties
- calculated formation energy (eV/atom) = 0.412
- crystal system = orthorhombic
- distance to the lowest polymorph of the same formula (meV/atom) = 0.0
- space group = Amm2, No. 38

Cell lengths 3.1051, 3.0551, 8.9213 Å; angles 80.19, 90.00, 90.00 degrees
Positions (direct):
W1 0.0000 0.4133 0.5475
Tl1 0.0000 0.2105 0.9562
Tl2 0.5000 0.0412 0.2909
Ru1 0.5000 0.8349 0.7053